Entry 1:
Hf2HPd | PBE | relaxed

CIF file:
```
data_Hf2HPd
_chemical_formula_sum 'Hf6 H3 Pd3'
_symmetry_space_group_name_H-M 'R -3 m'
_symmetry_Int_Tables_number 166
_symmetry_space_group_name_Hall '-R 3 2"'
_cell_length_a 3.1256
_cell_length_b 3.1256
_cell_length_c 21.4117
_cell_angle_alpha 90.00
_cell_angle_beta 90.00
_cell_angle_gamma 120.00
loop_
_atom_site_label
_atom_site_fract_x
_atom_site_fract_y
_atom_site_fract_z
Hf1 0.0000 0.0000 0.2285
H1 0.0000 0.0000 0.5000
Pd1 0.0000 0.0000 0.0000
```

volume	15.10	A^3/atom
DOS(E_F)	14.13	states/eV per cell
energy above the lowest structure with this stoichiometry	0.233	eV per atom


Entry 2:
Hf12H5Pd3 | PBE | relaxed

CIF file:
```
data_Hf12H5Pd3
_chemical_formula_sum 'Hf96 H40 Pd24'
_symmetry_space_group_name_H-M 'I a -3 d'
_symmetry_Int_Tables_number 230
_symmetry_space_group_name_Hall '-I 4bd 2c 3'
_cell_length_a 13.908
_cell_length_b 13.908
_cell_length_c 13.908
_cell_angle_alpha 90.00
_cell_angle_beta 90.00
_cell_angle_gamma 90.00
loop_
_atom_site_label
_atom_site_fract_x
_atom_site_fract_y
_atom_site_fract_z
Hf1 0.040 0.054 0.648
H1 0.000 0.000 0.000
H2 0.000 0.250 0.375
Pd1 0.000 0.250 0.125
```

uncorrected energy	-1235.49	eV per cell
volume	16.81	A^3/atom
DOS(E_F)	168.39	states/eV per cell


Entry 3:
Hf2HPd9 | PBE | relaxed

CIF file:
```
data_Hf2HPd9
_chemical_formula_sum 'Hf2 H1 Pd9'
_symmetry_space_group_name_H-M 'P 4/m m m'
_symmetry_Int_Tables_number 123
_symmetry_space_group_name_Hall '-P 4 2'
_cell_length_a 4.047
_cell_length_b 4.047
_cell_length_c 11.234
_cell_angle_alpha 90.00
_cell_angle_beta 90.00
_cell_angle_gamma 90.00
loop_
_atom_site_label
_atom_site_fract_x
_atom_site_fract_y
_atom_site_fract_z
Hf1 0.000 0.000 0.182
H1 0.000 0.000 0.500
Pd1 0.000 0.500 0.000
Pd2 0.000 0.500 0.347
Pd3 0.500 0.500 0.173
Pd4 0.500 0.500 0.500
```

uncorrected energy	-75.43	eV per cell
volume	15.33	A^3/atom
DOS(E_F)	7.93	states/eV per cell